A relaxed NdPuRh2 crystal, computed with PBE.

Lattice parameters (Å, degrees): 5.7025 5.7106 11.2804 93.62 90.00 90.00
Element x y z (fractional)
Pu1 0.8021 0.0423 0.1238
Pu2 0.1979 0.5423 0.6238
Pu3 0.8021 0.4577 0.3762
Pu4 0.1979 0.9577 0.8762
Rh1 0.6808 0.0103 0.8965
Rh2 0.2357 0.0603 0.6504
Rh3 0.7643 0.9397 0.3496
Rh4 0.3192 0.9897 0.1035
Rh5 0.6808 0.4897 0.6035
Rh6 0.3192 0.5103 0.3965
Rh7 0.7643 0.5603 0.1504
Rh8 0.2357 0.4397 0.8496
Nd1 0.7358 0.5051 0.8764
Nd2 0.2642 0.4949 0.1236
Nd3 0.7358 0.9949 0.6236
Nd4 0.2642 0.0051 0.3764

Computed properties:
The value obtained for the calculated density is 10.8 g/cm³. Its density of states at the Fermi level is 8.59 states/eV/f.u. The volume is 22.913 A^3/atom. As for the symmetry: P2/c. Its total DFT energy (no corrections) is -8.894 eV/atom.

---

A relaxed TcRh2F crystal, computed with PBE.

Lattice parameters (Å, degrees): 6.5020 6.5020 5.3576 52.64 52.64 90.00
Element x y z (fractional)
Tc1 0.0000 0.0000 0.0000
Tc2 0.7500 0.2500 0.5000
Rh1 0.6156 0.1250 0.2500
Rh2 0.1344 0.6250 0.2500
Rh3 0.3750 0.3844 0.7500
Rh4 0.8750 0.8656 0.7500
F1 0.5000 0.5000 0.0000
F2 0.2500 0.7500 0.5000

Computed properties:
The value obtained for the calculated density is 9.2 g/cm³. Its density of states at the Fermi level is 4.18 states/eV/f.u. Its energy relative to the elements, uncorrected is 0.254 eV per atom. The volume is 14.536 A^3/atom. As for the symmetry: I-42d. For the energy above the most stable polymorph in this dataset, the calculation gives 89 meV/atom.

---

A relaxed LiTbGdMg crystal, computed with PBE.

Lattice parameters (Å, degrees): 5.3432 5.3432 5.3432 60.00 60.00 60.00
Element x y z (fractional)
Mg1 0.5000 0.5000 0.5000
Tb1 0.7500 0.7500 0.7500
Li1 0.0000 0.0000 0.0000
Gd1 0.2500 0.2500 0.2500

Computed properties:
The value obtained for the calculated density is 5.3 g/cm³. Its density of states at the Fermi level is 4.46 states/eV/f.u. The volume is 26.967 A^3/atom. As for the symmetry: F-43m. Its total DFT energy (no corrections) is -5.531 eV/atom.